The following is a DFT calculation (PBE) of a geometry-optimized AsPd2Br2 structure.

The value obtained for the distance to the lowest polymorph of the same formula is 0 meV/atom. The calculation puts the formation energy without anion corrections at 20.2 meV/atom.

Cell: 7.009 7.009 4.876 Å, 90.00 90.00 90.00°
Space group P4/mbm (No. 127)
Asymmetric unit:
As 0.000 0.000 0.000 [2 per cell]
Pd 0.246 0.254 0.000 [4 per cell]
Br 0.174 0.326 0.500 [4 per cell]